{"formula": "CrSn3O", "functional": "PBE+U", "state": "optimized geometry", "vol_a3_per_cell": 128, "total_magnetization_mub_per_fu": 2.0, "polymorph_energy_ev_per_atom": 0.7982, "space_group": "No. 221", "lattice_angstrom": [[5.036, 0.000, 0.000], [0.000, 5.036, 0.000], [0.000, 0.000, 5.036]], "species": ["Cr", "Sn", "Sn", "Sn", "O"], "fractional_positions": [[0.000, 0.000, 0.000], [0.000, 0.000, 0.500], [0.000, 0.500, 0.000], [0.500, 0.000, 0.000], [0.500, 0.500, 0.500]]}